[1]
# Tb2Pm2DyY6

Tb2Pm2DyY6 after structural relaxation (PBE-GGA, Alexandria via LeMat-Bulk).

Summary:
The total magnetization comes out at 0.000 μB/atom. The value obtained for the energy is -60.57 eV/cell. For the formation energy, the calculation gives 0.144 eV/atom. The value obtained for the density of states at the Fermi level is 18.336 states/eV per cell.

a = 6.671 Å, b = 6.671 Å, c = 12.040 Å
α = 101.62°, β = 101.62°, γ = 129.51°
Fractional coordinates of all 11 atoms:
Tb  0.293  0.707  0.500
Tb  0.707  0.293  0.500
Pm  0.867  0.133  0.000
Pm  0.133  0.867  0.000
Dy  0.000  0.000  0.500
Y  0.704  0.704  0.704
Y  0.140  0.445  0.792
Y  0.296  0.296  0.296
Y  0.445  0.140  0.792
Y  0.860  0.555  0.208
Y  0.555  0.860  0.208



[2]
# TbPm2Dy3Y6

TbPm2Dy3Y6 after structural relaxation (PBE-GGA, Alexandria via LeMat-Bulk).

Summary:
The total magnetization comes out at 0.000 μB/atom. The value obtained for the energy is -66.51 eV/cell. For the formation energy, the calculation gives 0.018 eV/atom. The value obtained for the density of states at the Fermi level is 16.706 states/eV per cell.

a = 6.195 Å, b = 6.195 Å, c = 11.833 Å
α = 94.99°, β = 94.99°, γ = 119.95°
Fractional coordinates of all 12 atoms:
Tb  0.000  0.000  0.000
Pm  0.333  0.667  0.000
Pm  0.667  0.333  0.000
Dy  0.167  0.833  0.500
Dy  0.833  0.167  0.500
Dy  0.500  0.500  0.500
Y  0.916  0.583  0.748
Y  0.751  0.751  0.252
Y  0.084  0.417  0.252
Y  0.583  0.916  0.748
Y  0.249  0.249  0.748
Y  0.417  0.084  0.252



[3]
# TbPm2Dy2Y4

TbPm2Dy2Y4 after structural relaxation (PBE-GGA, Alexandria via LeMat-Bulk).

Summary:
The total magnetization comes out at 0.000 μB/atom. The value obtained for the energy is -49.23 eV/cell. For the formation energy, the calculation gives -0.004 eV/atom. The value obtained for the density of states at the Fermi level is 12.386 states/eV per cell.

a = 3.613 Å, b = 9.548 Å, c = 9.600 Å
α = 115.22°, β = 90.00°, γ = 100.90°
Fractional coordinates of all 9 atoms:
Tb  0.000  0.000  0.000
Pm  0.334  0.668  0.002
Pm  0.666  0.332  0.998
Dy  0.852  0.704  0.336
Dy  0.148  0.296  0.664
Y  0.814  0.629  0.665
Y  0.186  0.371  0.335
Y  0.519  0.038  0.335
Y  0.481  0.962  0.665



[4]
# TbPmDyY

TbPmDyY after structural relaxation (PBE-GGA, Alexandria via LeMat-Bulk).

Summary:
The total magnetization comes out at 0.000 μB/atom. As for the energy above the most stable polymorph in this dataset: 113 meV per atom. The value obtained for the energy is -19.92 eV/cell. For the formation energy, the calculation gives 0.131 eV/atom. The value obtained for the density of states at the Fermi level is 9.106 states/eV per cell.

a = 5.711 Å, b = 5.711 Å, c = 5.711 Å
α = 60.00°, β = 60.00°, γ = 60.00°
Fractional coordinates of all 4 atoms:
Y  0.750  0.750  0.750
Pm  0.000  0.000  0.000
Tb  0.500  0.500  0.500
Dy  0.250  0.250  0.250



[5]
# Tb2PmDy2Y2

Tb2PmDy2Y2 after structural relaxation (PBE-GGA, Alexandria via LeMat-Bulk).

Summary:
The total magnetization comes out at 0.000 μB/atom. The value obtained for the energy is -36.02 eV/cell. For the formation energy, the calculation gives 0.018 eV/atom. The value obtained for the density of states at the Fermi level is 9.573 states/eV per cell.

a = 5.051 Å, b = 6.181 Å, c = 7.985 Å
α = 97.34°, β = 90.00°, γ = 114.12°
Fractional coordinates of all 7 atoms:
Tb  0.572  0.143  0.712
Tb  0.428  0.857  0.288
Pm  0.000  0.000  0.000
Dy  0.142  0.284  0.430
Dy  0.858  0.716  0.570
Y  0.714  0.427  0.144
Y  0.286  0.573  0.856



[6]
# Tb3Pm3DyZn2

Tb3Pm3DyZn2 after structural relaxation (PBE-GGA, Alexandria via LeMat-Bulk).

Summary:
The total magnetization comes out at 0.000 μB/atom. The value obtained for the energy is -35.38 eV/cell. For the formation energy, the calculation gives -0.010 eV/atom. The value obtained for the density of states at the Fermi level is 14.502 states/eV per cell.

a = 3.624 Å, b = 9.139 Å, c = 9.139 Å
α = 120.00°, β = 90.00°, γ = 90.00°
Fractional coordinates of all 9 atoms:
Tb  0.000  0.626  0.626
Tb  0.000  0.000  0.374
Tb  0.000  0.374  0.000
Pm  0.500  0.686  0.000
Pm  0.500  0.000  0.686
Pm  0.500  0.314  0.314
Dy  0.000  0.000  0.000
Zn  0.500  0.667  0.333
Zn  0.500  0.333  0.667



[7]
# Tb3Pm2Dy6Zr

Tb3Pm2Dy6Zr after structural relaxation (PBE-GGA, Alexandria via LeMat-Bulk).

Summary:
The total magnetization comes out at 0.000 μB/atom. The value obtained for the energy is -58.96 eV/cell. For the formation energy, the calculation gives 0.049 eV/atom. The value obtained for the density of states at the Fermi level is 14.877 states/eV per cell.

a = 6.114 Å, b = 6.114 Å, c = 11.688 Å
α = 94.98°, β = 94.98°, γ = 119.93°
Fractional coordinates of all 12 atoms:
Tb  0.166  0.834  0.500
Tb  0.834  0.166  0.500
Tb  0.500  0.500  0.500
Pm  0.333  0.667  0.000
Pm  0.667  0.333  0.000
Dy  0.918  0.591  0.753
Dy  0.756  0.756  0.246
Dy  0.082  0.409  0.247
Dy  0.591  0.918  0.753
Dy  0.244  0.244  0.754
Dy  0.409  0.082  0.247
Zr  0.000  0.000  0.000



[8]
# TbPmDyZr

TbPmDyZr after structural relaxation (PBE-GGA, Alexandria via LeMat-Bulk).

Summary:
The total magnetization comes out at 0.500 μB/atom. The value obtained for the energy is -21.64 eV/cell. For the formation energy, the calculation gives 0.223 eV/atom. The value obtained for the density of states at the Fermi level is 6.819 states/eV per cell.

a = 5.528 Å, b = 5.528 Å, c = 5.528 Å
α = 60.00°, β = 60.00°, γ = 60.00°
Fractional coordinates of all 4 atoms:
Pm  0.000  0.000  0.000
Tb  0.500  0.500  0.500
Zr  0.250  0.250  0.250
Dy  0.750  0.750  0.750



[9]
# PmDy2Tc

PmDy2Tc after structural relaxation (PBE-GGA, Alexandria via LeMat-Bulk).

Summary:
The total magnetization comes out at 0.000 μB/atom. As for the energy above the most stable polymorph in this dataset: 0 meV per atom. The value obtained for the energy is -98.39 eV/cell. For the formation energy, the calculation gives -0.069 eV/atom. The value obtained for the density of states at the Fermi level is 13.876 states/eV per cell.

a = 6.347 Å, b = 7.482 Å, c = 9.215 Å
α = 90.00°, β = 90.00°, γ = 90.00°
Fractional coordinates of all 16 atoms:
Pm  0.627  0.543  0.250
Pm  0.873  0.043  0.250
Pm  0.373  0.457  0.750
Pm  0.127  0.957  0.750
Dy  0.159  0.676  0.064
Dy  0.341  0.176  0.436
Dy  0.841  0.324  0.564
Dy  0.659  0.824  0.936
Dy  0.841  0.324  0.936
Dy  0.659  0.824  0.564
Dy  0.159  0.676  0.436
Dy  0.341  0.176  0.064
Tc  0.044  0.385  0.250
Tc  0.456  0.885  0.250
Tc  0.956  0.615  0.750
Tc  0.544  0.115  0.750



[10]
# PmDy2Tc

PmDy2Tc after structural relaxation (PBE-GGA, Alexandria via LeMat-Bulk).

Summary:
The total magnetization comes out at 0.000 μB/atom. As for the energy above the most stable polymorph in this dataset: 0 meV per atom. The value obtained for the energy is -49.19 eV/cell. For the formation energy, the calculation gives -0.069 eV/atom. The value obtained for the density of states at the Fermi level is 6.911 states/eV per cell.

a = 3.938 Å, b = 6.368 Å, c = 9.224 Å
α = 90.00°, β = 90.00°, γ = 108.01°
Fractional coordinates of all 8 atoms:
Pm  0.928  0.856  0.250
Pm  0.072  0.144  0.750
Dy  0.353  0.706  0.568
Dy  0.647  0.294  0.432
Dy  0.353  0.706  0.932
Dy  0.647  0.294  0.068
Tc  0.739  0.478  0.750
Tc  0.261  0.522  0.250



[11]
# PmDy3Tc

PmDy3Tc after structural relaxation (PBE-GGA, Alexandria via LeMat-Bulk).

Summary:
The total magnetization comes out at 0.072 μB/atom. As for the energy above the most stable polymorph in this dataset: 185 meV per atom. The value obtained for the energy is -28.27 eV/cell. For the formation energy, the calculation gives 0.130 eV/atom. The value obtained for the density of states at the Fermi level is 8.576 states/eV per cell.

a = 5.390 Å, b = 5.390 Å, c = 5.390 Å
α = 90.00°, β = 90.00°, γ = 90.00°
Fractional coordinates of all 5 atoms:
Pm  0.500  0.500  0.500
Tc  0.000  0.000  0.000
Dy  0.000  0.500  0.000
Dy  0.000  0.000  0.500
Dy  0.500  0.000  0.000



[12]
# PmDy2Tc9

PmDy2Tc9 after structural relaxation (PBE-GGA, Alexandria via LeMat-Bulk).

Summary:
The total magnetization comes out at 0.000 μB/atom. The value obtained for the energy is -107.60 eV/cell. For the formation energy, the calculation gives -0.029 eV/atom. The value obtained for the density of states at the Fermi level is 13.677 states/eV per cell.

a = 5.385 Å, b = 5.385 Å, c = 9.249 Å
α = 73.08°, β = 73.08°, γ = 60.00°
Fractional coordinates of all 12 atoms:
Pm  0.000  0.000  0.000
Dy  0.856  0.856  0.431
Dy  0.144  0.144  0.569
Tc  0.661  0.661  0.016
Tc  0.339  0.339  0.984
Tc  0.500  0.500  0.500
Tc  0.411  0.411  0.251
Tc  0.927  0.411  0.251
Tc  0.411  0.927  0.251
Tc  0.589  0.589  0.749
Tc  0.589  0.073  0.749
Tc  0.073  0.589  0.749